Computed, not measured: a relaxed TlCu2W crystal at the PBE level of DFT.

a b c (Å): 2.864 3.878 5.860
angles (deg): 90.00 90.23 90.00
Space group P2/m (No. 10)
One atom of each set of equivalent atoms:
Tl 0.000 0.000 0.000 (multiplicity 1)
Cu 0.498 0.500 0.712 (multiplicity 2)
W 0.000 0.000 0.500 (multiplicity 1)

- final energy (eV/atom) = -5.2932
- relative energy among the computed polymorphs (eV/atom) = 0.0752
- ΔH_f (0 K) (eV/atom) = 0.585
- size of the total moment (μB per cell) = 0.00


Computed, not measured: a relaxed TlCu2W crystal at the PBE level of DFT.

a b c (Å): 2.877 2.877 7.951
angles (deg): 90.00 90.00 90.00
Space group P4/mmm (No. 123)
One atom of each set of equivalent atoms:
Tl 0.000 0.000 0.000 (multiplicity 1)
Cu 0.500 0.500 0.278 (multiplicity 2)
W 0.000 0.000 0.500 (multiplicity 1)

- final energy (eV/atom) = -5.3685
- relative energy among the computed polymorphs (eV/atom) = 0.0000
- ΔH_f (0 K) (eV/atom) = 0.509
- size of the total moment (μB per cell) = 0.00


Computed, not measured: a relaxed TlCu2W crystal at the PBE level of DFT.

a b c (Å): 4.068 4.068 3.793
angles (deg): 90.00 90.00 90.00
Space group P4/mmm (No. 123)
One atom of each set of equivalent atoms:
Tl 0.000 0.000 0.000 (multiplicity 1)
Cu 0.000 0.500 0.500 (multiplicity 2)
W 0.500 0.500 0.000 (multiplicity 1)

- final energy (eV/atom) = -5.2322
- relative energy among the computed polymorphs (eV/atom) = 0.1363
- ΔH_f (0 K) (eV/atom) = 0.646
- size of the total moment (μB per cell) = 0.00


Computed, not measured: a relaxed TlCu2W crystal at the PBE level of DFT.

a b c (Å): 2.928 2.928 7.424
angles (deg): 90.00 90.00 90.00
Space group P4mm (No. 99)
One atom of each set of equivalent atoms:
Tl 0.000 0.000 0.000 (multiplicity 1)
Cu 0.000 0.000 0.533 (multiplicity 1)
Cu 0.500 0.500 0.722 (multiplicity 1)
W 0.500 0.500 0.314 (multiplicity 1)

- final energy (eV/atom) = -5.3489
- relative energy among the computed polymorphs (eV/atom) = 0.0195
- ΔH_f (0 K) (eV/atom) = 0.529
- size of the total moment (μB per cell) = 0.00


Computed, not measured: a relaxed TlCu2W crystal at the PBE level of DFT.

a b c (Å): 2.875 4.685 9.385
angles (deg): 90.00 90.00 90.00
Space group Imm2 (No. 44)
One atom of each set of equivalent atoms:
Tl 0.000 0.000 0.000 (multiplicity 2)
Cu 0.000 0.000 0.528 (multiplicity 2)
Cu 0.000 0.500 0.248 (multiplicity 2)
W 0.000 0.500 0.777 (multiplicity 2)

- final energy (eV/atom) = -5.1908
- relative energy among the computed polymorphs (eV/atom) = 0.1776
- ΔH_f (0 K) (eV/atom) = 0.687
- size of the total moment (μB per cell) = 0.00


Computed, not measured: a relaxed TlCu2W crystal at the PBE level of DFT.

a b c (Å): 4.085 4.085 7.624
angles (deg): 90.00 90.00 90.00
Space group I4/mmm (No. 139)
One atom of each set of equivalent atoms:
Tl 0.000 0.000 0.000 (multiplicity 2)
Cu 0.000 0.500 0.250 (multiplicity 4)
W 0.000 0.000 0.500 (multiplicity 2)

- final energy (eV/atom) = -5.0540
- relative energy among the computed polymorphs (eV/atom) = 0.3145
- ΔH_f (0 K) (eV/atom) = 0.824
- size of the total moment (μB per cell) = 0.00


Computed, not measured: a relaxed TlCu2W crystal at the PBE level of DFT.

a b c (Å): 5.699 8.164 2.768
angles (deg): 90.00 90.00 90.00
Space group Cmmm (No. 65)
One atom of each set of equivalent atoms:
Tl 0.000 0.000 0.000 (multiplicity 2)
Cu 0.250 0.250 0.500 (multiplicity 4)
W 0.000 0.500 0.000 (multiplicity 2)

- final energy (eV/atom) = -5.2207
- relative energy among the computed polymorphs (eV/atom) = 0.1477
- ΔH_f (0 K) (eV/atom) = 0.657
- size of the total moment (μB per cell) = 0.00


Computed, not measured: a relaxed Tl3CuW crystal at the PBE level of DFT.

a b c (Å): 5.399 5.399 5.399
angles (deg): 90.00 90.00 90.00
Space group Pm-3m (No. 221)
One atom of each set of equivalent atoms:
Tl 0.000 0.000 0.500 (multiplicity 3)
Cu 0.500 0.500 0.500 (multiplicity 1)
W 0.000 0.000 0.000 (multiplicity 1)

- final energy (eV/atom) = -3.6377
- relative energy among the computed polymorphs (eV/atom) = 0.0000
- ΔH_f (0 K) (eV/atom) = 1.192
- size of the total moment (μB per cell) = 0.00